Entry from Alexandria via LeMat-Bulk: crystalline Er12Sb3Ru5 at its relaxed geometry (PBE).

The formation energy without anion corrections comes out at -0.166 eV/atom.

The structure belongs to space group Ia-3d (No. 230); the cell edges are 16.7737, 16.7737 and 16.7737 Å and the angles 90.00°, 90.00° and 90.00°. The inequivalent atoms are Er at (0.0296, 0.0553, 0.6468), Sb at (0.0000, 0.2500, 0.1250), Ru at (0.0000, 0.0000, 0.0000) and Ru at (0.0000, 0.2500, 0.3750).

***

Entry from Alexandria via LeMat-Bulk: crystalline Er7Sb2Ru2 at its relaxed geometry (PBE).

The formation energy without anion corrections comes out at -0.591 eV/atom.

The structure belongs to space group Imm2 (No. 44); the cell edges are 4.0397, 15.6146 and 9.0801 Å and the angles 90.00°, 90.00° and 90.00°. The inequivalent atoms are Er at (0.0000, 0.0000, 0.0000), Er at (0.0000, 0.1301, 0.5911), Er at (0.0000, 0.3147, 0.3808), Er at (0.0000, 0.3501, 0.7536), Sb at (0.0000, 0.0000, 0.3333), Sb at (0.0000, 0.5000, 0.2471) and Ru at (0.0000, 0.2397, 0.0698).

***

Entry from Alexandria via LeMat-Bulk: crystalline ErSc5Ru6 at its relaxed geometry (PBE).

For the energy of formation from the pure elements, the calculation gives -0.50 eV/atom.

The structure belongs to space group C2/m (No. 12); the cell edges are 14.4210, 6.4958 and 4.5828 Å and the angles 90.00°, 108.43° and 90.00°. The inequivalent atoms are Er at (0.0000, 0.0000, 0.0000), Sc at (0.0000, 0.5000, 0.0000), Sc at (0.1666, 0.5000, 0.6667), Sc at (0.1694, 0.0000, 0.6691), Ru at (0.0000, 0.2557, 0.5000) and Ru at (0.1689, 0.2527, 0.1688).

***

Entry from Alexandria via LeMat-Bulk: crystalline Er3ScRu3 at its relaxed geometry (PBE).

For the energy of formation from the pure elements, the calculation gives -0.43 eV/atom.

The structure belongs to space group R3m (No. 160, hexagonal axes); the cell edges are 9.2861, 9.2861 and 5.7764 Å and the angles 90.00°, 90.00° and 120.00°. The inequivalent atoms are Er at (0.1953, 0.3905, 0.0000), Sc at (0.0000, 0.0000, 0.7815) and Ru at (0.1691, 0.3382, 0.5283).

***

Entry from Alexandria via LeMat-Bulk: crystalline ErSc3Ru4 at its relaxed geometry (PBE).

For the energy of formation from the pure elements, the calculation gives -0.48 eV/atom.

The structure belongs to space group P4/mmm (No. 123); the cell edges are 4.5933, 4.5933 and 6.5194 Å and the angles 90.00°, 90.00° and 90.00°. The inequivalent atoms are Er at (0.0000, 0.0000, 0.0000), Sc at (0.0000, 0.0000, 0.5000), Sc at (0.5000, 0.5000, 0.0000), Sc at (0.5000, 0.5000, 0.5000) and Ru at (0.0000, 0.5000, 0.2561).

***

Entry from Alexandria via LeMat-Bulk: crystalline ErSc5Ru4 at its relaxed geometry (PBE).

For the energy of formation from the pure elements, the calculation gives -0.46 eV/atom.

The structure belongs to space group P4/mmm (No. 123); the cell edges are 3.2375, 3.2375 and 17.9241 Å and the angles 90.00°, 90.00° and 90.00°. The inequivalent atoms are Er at (0.0000, 0.0000, 0.0000), Sc at (0.5000, 0.5000, 0.1484), Sc at (0.5000, 0.5000, 0.3237), Sc at (0.5000, 0.5000, 0.5000), Ru at (0.0000, 0.0000, 0.2278) and Ru at (0.0000, 0.0000, 0.4103).

***

Entry from Alexandria via LeMat-Bulk: crystalline Er4ScRu5 at its relaxed geometry (PBE).

For the energy of formation from the pure elements, the calculation gives -0.41 eV/atom.

The structure belongs to space group P4/mmm (No. 123); the cell edges are 3.3409, 3.3409 and 16.6822 Å and the angles 90.00°, 90.00° and 90.00°. The inequivalent atoms are Er at (0.0000, 0.0000, 0.1015), Er at (0.0000, 0.0000, 0.3046), Sc at (0.0000, 0.0000, 0.5000), Ru at (0.5000, 0.5000, 0.0000), Ru at (0.5000, 0.5000, 0.2036) and Ru at (0.5000, 0.5000, 0.4072).

***

Entry from Alexandria via LeMat-Bulk: crystalline ErSc2Ru2 at its relaxed geometry (PBE).

As for the distance to the lowest polymorph of the same formula: 0.000 eV/atom. For the energy of formation from the pure elements, the calculation gives -0.42 eV/atom.

The structure belongs to space group Cmmm (No. 65); the cell edges are 3.3029, 18.9204 and 3.2549 Å and the angles 90.00°, 90.00° and 90.00°. The inequivalent atoms are Er at (0.0000, 0.0000, 0.0000), Sc at (0.0000, 0.1707, 0.0000) and Ru at (0.0000, 0.4034, 0.5000).

***

Number 1: mass density 8.100 g/cm³, density of states at the Fermi level 0.61 states/eV/atom. Number 2: mass density 9.373 g/cm³, density of states at the Fermi level 0.75 states/eV/atom. Number 3: mass density 8.142 g/cm³, density of states at the Fermi level 1.13 states/eV/atom. Number 4: mass density 9.815 g/cm³, density of states at the Fermi level 0.43 states/eV/atom. Number 5: mass density 8.528 g/cm³, density of states at the Fermi level 1.29 states/eV/atom. Number 6: mass density 7.039 g/cm³, density of states at the Fermi level 0.97 states/eV/atom. Number 7: mass density 10.874 g/cm³, density of states at the Fermi level 1.33 states/eV/atom. Number 8: mass density 7.499 g/cm³, density of states at the Fermi level 0.53 states/eV/atom.